# 1
The following is a PBE-GGA calculation of Nd6Er3Tm2Sc after structural relaxation, from Alexandria.

Cell and atoms, written as POSCAR:
```
Nd6Er3Tm2Sc
1.0
3.1055 -5.3775 0.0000
3.1055 5.3775 0.0000
-2.0679 0.0000 11.4946
Nd Er Tm Sc
6 3 2 1
Direct
0.0822 0.4131 0.2472 Nd
0.2488 0.2488 0.7527 Nd
0.4131 0.0822 0.2472 Nd
0.5869 0.9178 0.7528 Nd
0.7512 0.7512 0.2473 Nd
0.9178 0.5869 0.7528 Nd
0.1668 0.8332 0.5000 Er
0.5000 0.5000 0.5000 Er
0.8332 0.1668 0.5000 Er
0.3334 0.6666 0.0000 Tm
0.6666 0.3334 0.0000 Tm
0.0000 0.0000 0.0000 Sc
```

## Properties
Symmetry: C2/m
Total DFT energy (no corrections): -57.27 eV/cell
Formation energy: 2 kJ/mol of atoms

# 2
The following is a PBE-GGA calculation of Nd4ErTm2Sc after structural relaxation, from Alexandria.

Cell and atoms, written as POSCAR:
```
Nd4ErTm2Sc
1.0
5.0983 0.0000 0.0000
0.0000 5.0983 0.0000
0.0000 0.0000 9.7868
Nd Er Tm Sc
4 1 2 1
Direct
0.0000 0.5000 0.2452 Nd
0.0000 0.5000 0.7548 Nd
0.5000 0.0000 0.2452 Nd
0.5000 0.0000 0.7548 Nd
0.0000 0.0000 0.5000 Er
0.0000 0.0000 0.0000 Tm
0.5000 0.5000 0.5000 Tm
0.5000 0.5000 0.0000 Sc
```

## Properties
Symmetry: P4/mmm
Total DFT energy (no corrections): -38.67 eV/cell
Formation energy: 3 kJ/mol of atoms

# 3
The following is a PBE-GGA calculation of NdErTm2Sc4 after structural relaxation, from Alexandria.

Cell and atoms, written as POSCAR:
```
NdErTm2Sc4
1.0
-3.2572 5.6206 6.3190
3.2572 -5.6206 6.3190
3.2572 5.6206 -6.3190
Nd Er Tm Sc
2 2 4 8
Direct
0.5000 0.0000 0.0000 Nd
0.5000 0.5000 0.5000 Nd
0.0000 0.0000 0.0000 Er
0.5000 0.0000 0.5000 Er
0.0000 0.0000 0.5000 Tm
0.0000 0.5000 0.0000 Tm
0.0000 0.5000 0.5000 Tm
0.5000 0.5000 0.0000 Tm
0.2461 0.7494 0.4967 Sc
0.2467 0.2469 0.5003 Sc
0.2473 0.2506 0.9967 Sc
0.2467 0.7464 0.9997 Sc
0.7533 0.2536 0.0003 Sc
0.7527 0.7494 0.0033 Sc
0.7533 0.7531 0.4997 Sc
0.7539 0.2506 0.5033 Sc
```

## Properties
Symmetry: Imma
Total DFT energy (no corrections): -80.11 eV/cell
Formation energy: 43 kJ/mol of atoms

# 4
The following is a PBE-GGA calculation of NdY2ErSc4 after structural relaxation, from Alexandria.

Cell and atoms, written as POSCAR:
```
NdY2ErSc4
1.0
6.5411 -6.3333 0.0000
6.5411 6.3333 0.0000
-3.2820 0.0000 5.6719
Nd Y Er Sc
2 4 2 8
Direct
0.0000 0.5000 0.0000 Nd
0.5000 0.0000 0.5000 Nd
0.0000 0.0000 0.0000 Y
0.0000 0.0000 0.5000 Y
0.0000 0.5000 0.5000 Y
0.5000 0.0000 0.0000 Y
0.5000 0.5000 0.0000 Er
0.5000 0.5000 0.5000 Er
0.2522 0.2545 0.0048 Sc
0.2519 0.7481 0.0012 Sc
0.2519 0.7481 0.4988 Sc
0.2545 0.2522 0.5048 Sc
0.7455 0.7478 0.4952 Sc
0.7481 0.2519 0.5012 Sc
0.7481 0.2519 0.9988 Sc
0.7478 0.7455 0.9952 Sc
```

## Properties
Symmetry: C2/c
Total DFT energy (no corrections): -88.16 eV/cell
Formation energy: 42 kJ/mol of atoms

# 5
The following is a PBE-GGA calculation of Nd4YEr2Sc after structural relaxation, from Alexandria.

Cell and atoms, written as POSCAR:
```
Nd4YEr2Sc
1.0
5.1068 0.0000 0.0000
0.0000 5.1068 0.0000
0.0000 0.0000 9.8680
Nd Y Er Sc
4 1 2 1
Direct
0.0000 0.5000 0.2441 Nd
0.0000 0.5000 0.7559 Nd
0.5000 0.0000 0.2441 Nd
0.5000 0.0000 0.7559 Nd
0.0000 0.0000 0.5000 Y
0.0000 0.0000 0.0000 Er
0.5000 0.5000 0.5000 Er
0.5000 0.5000 0.0000 Sc
```

## Properties
Symmetry: P4/mmm
Total DFT energy (no corrections): -40.77 eV/cell
Formation energy: 3 kJ/mol of atoms

# 6
The following is a PBE-GGA calculation of Nd2Y6ErSc after structural relaxation, from Alexandria.

Cell and atoms, written as POSCAR:
```
Nd2Y6ErSc
1.0
4.5309 -7.4141 0.0000
4.5309 7.4141 0.0000
-1.6652 0.0000 9.5599
Nd Y Er Sc
4 12 2 2
Direct
0.1966 0.2938 0.0472 Nd
0.2938 0.1966 0.5472 Nd
0.7062 0.8034 0.4528 Nd
0.8034 0.7062 0.9528 Nd
0.0094 0.5729 0.1904 Y
0.1242 0.7451 0.5573 Y
0.2549 0.8758 0.9427 Y
0.2977 0.5034 0.3846 Y
0.4271 0.9906 0.3096 Y
0.4966 0.7023 0.1154 Y
0.5034 0.2977 0.8846 Y
0.5729 0.0094 0.6904 Y
0.7023 0.4966 0.6154 Y
0.7451 0.1242 0.0573 Y
0.8758 0.2549 0.4427 Y
0.9906 0.4271 0.8096 Y
0.0169 0.9831 0.2500 Er
0.9831 0.0169 0.7500 Er
0.4086 0.5914 0.7500 Sc
0.5914 0.4086 0.2500 Sc
```

## Properties
Symmetry: C2/c
Total DFT energy (no corrections): -116.05 eV/cell
Formation energy: 11 kJ/mol of atoms